[1]
First-principles (GGA-PBE) data for crystalline AcCe2DyTe5 at its relaxed geometry, as listed in Alexandria via LeMat-Bulk.

a b c (Å): 5.540 5.540 12.210
angles (deg): 90.00 90.00 90.00
Space group P4/mmm (No. 123)
Unique sites:
Ac 0.000 0.000 0.000 (multiplicity 1)
Ce 0.500 0.500 0.343 (multiplicity 2)
Dy 0.000 0.000 0.500 (multiplicity 1)
Te 0.000 0.000 0.255 (multiplicity 2)
Te 0.000 0.500 0.500 (multiplicity 2)
Te 0.500 0.500 0.000 (multiplicity 1)

Computed properties:
E = -4.9516 eV per atom
crystal system = tetragonal

---

[2]
First-principles (GGA-PBE) data for crystalline Ca2ReBr at its relaxed geometry, as listed in Alexandria via LeMat-Bulk.

a b c (Å): 11.349 3.187 5.316
angles (deg): 90.00 90.09 90.00
Space group Cm (No. 8)
Unique sites:
Ca 0.000 0.000 0.000 (multiplicity 2)
Ca 0.238 0.500 0.501 (multiplicity 2)
Re 0.479 0.000 0.500 (multiplicity 2)
Br 0.264 0.000 0.002 (multiplicity 2)

Computed properties:
E = -4.3736 eV per atom
crystal system = monoclinic

---

[3]
First-principles (GGA-PBE) data for crystalline NbVAs2 at its relaxed geometry, as listed in Alexandria via LeMat-Bulk.

a b c (Å): 3.7404 3.7404 17.4247
angles (deg): 90.00 90.00 120.00
Space group R-3m (No. 166, hexagonal axes)
Unique sites:
Nb 0.0000 0.0000 0.0000 (multiplicity 3)
V 0.0000 0.0000 0.5000 (multiplicity 3)
As 0.0000 0.0000 0.2443 (multiplicity 6)

Computed properties:
E = -7.3700 eV per atom
crystal system = trigonal

---

[4]
First-principles (GGA-PBE) data for crystalline Pr3Gd at its relaxed geometry, as listed in Alexandria via LeMat-Bulk.

a b c (Å): 7.4414 7.4414 5.9702
angles (deg): 90.00 90.00 120.00
Space group P6_3/mmc (No. 194)
Unique sites:
Pr 0.1670 0.3340 0.2500 (multiplicity 6)
Gd 0.3333 0.6667 0.7500 (multiplicity 2)

Computed properties:
E = -7.0800 eV per atom
crystal system = hexagonal

---

[5]
First-principles (GGA-PBE) data for crystalline HgTeRu at its relaxed geometry, as listed in Alexandria via LeMat-Bulk.

a b c (Å): 4.5135 4.5135 3.6681
angles (deg): 90.00 90.00 120.00
Space group P-6m2 (No. 187)
Unique sites:
Hg 0.0000 0.0000 0.0000 (multiplicity 1)
Te 0.3333 0.6667 0.5000 (multiplicity 1)
Ru 0.6667 0.3333 0.5000 (multiplicity 1)

Computed properties:
E = -3.7215 eV per atom
crystal system = hexagonal

---

[6]
First-principles (GGA-PBE) data for crystalline TlSb2Os at its relaxed geometry, as listed in Alexandria via LeMat-Bulk.

a b c (Å): 3.207 3.223 10.196
angles (deg): 90.00 90.97 90.00
Space group Pm (No. 6)
Unique sites:
Tl 0.000 0.000 0.000 (multiplicity 1)
Sb 0.005 0.000 0.673 (multiplicity 1)
Sb 0.985 0.500 0.312 (multiplicity 1)
Os 0.496 0.500 0.523 (multiplicity 1)

Computed properties:
E = -5.2165 eV per atom
crystal system = monoclinic

---

[7]
First-principles (GGA-PBE) data for crystalline Al2TlW at its relaxed geometry, as listed in Alexandria via LeMat-Bulk.

a b c (Å): 3.457 3.482 5.926
angles (deg): 90.00 90.00 90.00
Space group Pmmm (No. 47)
Unique sites:
Al 0.000 0.000 0.214 (multiplicity 2)
Tl 0.500 0.500 0.500 (multiplicity 1)
W 0.500 0.500 0.000 (multiplicity 1)

Computed properties:
E = -5.4158 eV per atom
crystal system = orthorhombic

---

[8]
First-principles (GGA-PBE) data for crystalline HfNi4Ag at its relaxed geometry, as listed in Alexandria via LeMat-Bulk.

a b c (Å): 6.824 6.824 6.824
angles (deg): 90.00 90.00 90.00
Space group F-43m (No. 216)
Unique sites:
Hf 0.000 0.000 0.000 (multiplicity 4)
Ni 0.125 0.125 0.625 (multiplicity 16)
Ag 0.250 0.250 0.250 (multiplicity 4)

Computed properties:
E = -6.3234 eV per atom
crystal system = cubic

---

[9]
First-principles (GGA-PBE) data for crystalline NaLiTeSe3 at its relaxed geometry, as listed in Alexandria via LeMat-Bulk.

a b c (Å): 7.540 4.106 10.646
angles (deg): 90.00 104.94 90.00
Space group P2_1/m (No. 11)
Unique sites:
Na 0.141 0.250 0.175 (multiplicity 2)
Li 0.115 0.750 0.577 (multiplicity 2)
Te 0.358 0.250 0.827 (multiplicity 2)
Se 0.006 0.250 0.678 (multiplicity 2)
Se 0.266 0.750 0.993 (multiplicity 2)
Se 0.461 0.750 0.681 (multiplicity 2)

Computed properties:
E = -3.4286 eV per atom
crystal system = monoclinic

---

[10]
First-principles (GGA-PBE) data for crystalline Sr2Cu4AgSb3 at its relaxed geometry, as listed in Alexandria via LeMat-Bulk.

a b c (Å): 4.494 4.494 10.900
angles (deg): 90.00 90.00 90.00
Space group P-4m2 (No. 115)
Unique sites:
Sr 0.000 0.500 0.245 (multiplicity 2)
Cu 0.000 0.000 0.000 (multiplicity 1)
Cu 0.000 0.500 0.632 (multiplicity 2)
Cu 0.500 0.500 0.000 (multiplicity 1)
Ag 0.000 0.000 0.500 (multiplicity 1)
Sb 0.000 0.500 0.867 (multiplicity 2)
Sb 0.500 0.500 0.500 (multiplicity 1)

Computed properties:
E = -3.9099 eV per atom
crystal system = tetragonal

---

[11]
First-principles (GGA-PBE) data for crystalline PrTm2Mg3 at its relaxed geometry, as listed in Alexandria via LeMat-Bulk.

a b c (Å): 3.787 3.787 11.510
angles (deg): 90.00 90.00 90.00
Space group P4/mmm (No. 123)
Unique sites:
Pr 0.000 0.000 0.000 (multiplicity 1)
Tm 0.000 0.000 0.340 (multiplicity 2)
Mg 0.500 0.500 0.180 (multiplicity 2)
Mg 0.500 0.500 0.500 (multiplicity 1)

Computed properties:
E = -3.1554 eV per atom
crystal system = tetragonal

---

[12]
First-principles (GGA-PBE) data for crystalline Cu2SiAu at its relaxed geometry, as listed in Alexandria via LeMat-Bulk.

a b c (Å): 6.092 6.092 6.092
angles (deg): 90.00 90.00 90.00
Space group F-43m (No. 216)
Unique sites:
Cu 0.000 0.000 0.000 (multiplicity 4)
Cu 0.250 0.250 0.250 (multiplicity 4)
Si 0.250 0.250 0.750 (multiplicity 4)
Au 0.000 0.000 0.500 (multiplicity 4)

Computed properties:
E = -4.1489 eV per atom
crystal system = cubic

---

> Which formula does entry 4 have?

Pr3Gd

---

> The highest E belongs to which entry?

PrTm2Mg3

---

> Which formula does entry 1 have?

AcCe2DyTe5